Here is a geometry-optimized ZnTcBr2 structure from the Alexandria database. Energies are from GGA-PBE.

Lattice parameters (Å, degrees): 4.7116 5.9030 7.5360 89.37 72.92 72.78
Space group P1 (No. 1)
Inequivalent atoms, fractional coordinates:
Zn (0.0000, 0.0000, 0.0000) (multiplicity 1)
Zn (0.3833, 0.9712, 0.2146) (multiplicity 1)
Tc (0.4826, 0.1770, 0.9142) (multiplicity 1)
Tc (0.6501, 0.9032, 0.6863) (multiplicity 1)
Br (0.0899, 0.5637, 0.1482) (multiplicity 1)
Br (0.2518, 0.7886, 0.5539) (multiplicity 1)
Br (0.6601, 0.1663, 0.4214) (multiplicity 1)
Br (0.8002, 0.4709, 0.7822) (multiplicity 1)

Summary:
- Energy: -3.855 eV/atom
- Offset from the most stable computed form: 0.105 eV per atom
- Uncorrected formation energy: -0.11 eV per atom
- Crystal system: triclinic